Material: HfC2N
Method: DFT, PBE
State: optimized geometry

Cell: 4.976 4.976 4.652 Å, 57.67 57.67 90.00°
Atoms (fractional coordinates):
C 0.515 0.125 0.250
C 0.235 0.625 0.250
C 0.375 0.485 0.750
C 0.875 0.765 0.750
Hf 0.000 0.000 0.000
Hf 0.750 0.250 0.500
N 0.500 0.500 0.000
N 0.250 0.750 0.500

Calculated values
Total magnetic moment   0.00 μB per formula unit
Calculated total energy   -8.1524 eV per atom
Symmetry   I-42d (122)
Uncorrected formation energy   1.029 eV per atom